A plane-wave DFT calculation with PBE was carried out for a geometry-optimized BaSrLiHg2 structure.

Cell and atoms, written as CIF:
```
data_BaSrLiHg2
_chemical_formula_sum 'Ba1 Sr1 Li1 Hg2'
_cell_length_a 4.6377
_cell_length_b 4.6377
_cell_length_c 9.9697
_cell_angle_alpha 90.00
_cell_angle_beta 90.00
_cell_angle_gamma 120.00
_space_group_name_H-M_alt 'P 3 m 1'
_space_group_IT_number 156
loop_
_space_group_symop_operation_xyz
'x,y,z'
'-y,x-y,z'
'-x+y,-x,z'
'-y,-x,z'
'-x+y,y,z'
'x,x-y,z'
loop_
_atom_site_label
_atom_site_type_symbol
_atom_site_fract_x
_atom_site_fract_y
_atom_site_fract_z
_atom_site_occupancy
Ba1 Ba 0.0000 0.0000 0.0000 1
Sr1 Sr 0.6667 0.3333 0.4299 1
Li1 Li 0.3333 0.6667 0.6923 1
Hg1 Hg 0.3333 0.6667 0.2314 1
Hg2 Hg 0.6667 0.3333 0.7665 1
```

Results
Total DFT energy (no corrections) = -1.532 eV per atom